1.
# InPd3Au

A relaxed InPd3Au crystal (PBE, the Alexandria database).

## Properties
formation enthalpy at 0 K = -0.29 eV per atom
distance to the lowest polymorph of the same formula = 0.0 meV/atom
SG = Cmcm (63)
electronic total energy = -4.61 eV/atom

Cell and atoms, written as POSCAR:
```
InPd3Au
1.0
-4.162 0.815 1.938
0.470 -4.861 3.054
0.763 3.668 5.721
Pd Au In
6 2 2
Cartesian
-0.449 -1.801 2.599 Pd
-2.479 1.423 8.114 Pd
0.499 0.622 3.628 Pd
-0.682 0.598 1.092 Pd
-3.427 -1.000 7.085 Pd
-2.247 -0.976 9.621 Pd
-0.663 -0.623 7.258 Au
-2.265 0.245 3.455 Au
-2.025 -2.183 4.985 In
-0.903 1.805 5.727 In
```


2.
# Ce3Ru2

A relaxed Ce3Ru2 crystal (PBE, the Alexandria database).

## Properties
formation enthalpy at 0 K = -0.25 eV per atom
distance to the lowest polymorph of the same formula = 68.3 meV/atom
SG = R-3c (167)
electronic total energy = -7.52 eV/atom

Cell and atoms, written as POSCAR:
```
Ce3Ru2
1.0
-3.602 -1.003 5.666
1.917 -4.762 4.442
2.984 2.306 6.372
Ce Ru
6 4
Cartesian
-1.987 -1.508 7.757 Ce
0.265 -4.280 9.001 Ce
1.034 0.822 7.480 Ce
0.288 -0.888 10.770 Ce
1.011 -2.570 5.711 Ce
3.286 -1.950 8.723 Ce
0.131 -3.599 11.647 Ru
1.817 -1.589 13.074 Ru
1.168 0.141 4.834 Ru
-0.518 -1.870 3.406 Ru
```


3.
# PrAlSe3

A relaxed PrAlSe3 crystal (PBE, the Alexandria database).

## Properties
distance to the lowest polymorph of the same formula = 22.8 meV/atom
SG = C2/m (12)
formation energy (no corrections) = -1329 meV per atom
electronic total energy = -5.12 eV/atom

Cell and atoms, written as POSCAR:
```
PrAlSe3
1.0
-3.567 -0.810 -2.557
4.531 -3.605 -5.405
0.384 -7.731 1.685
Se Pr Al
6 2 2
Cartesian
-3.485 -1.244 -2.486 Se
-0.316 -4.040 -2.258 Se
0.154 -7.765 -1.813 Se
2.588 -9.266 -4.881 Se
-0.667 -10.476 -3.869 Se
-0.581 -6.469 -5.109 Se
-2.434 -6.297 -2.473 Pr
1.537 -4.213 -4.894 Pr
0.514 -8.354 -4.159 Al
-1.411 -2.156 -3.208 Al
```